The following is a GGA+U calculation of a relaxed Rb5VO4F2 crystal, from Alexandria via LeMat-Bulk.

Uncorrected energy, eV/atom: -5.1314
D(E_F), states/eV/f.u.: 0.0

Geometry as CIF:
```
data_Rb5VO4F2
_cell_length_a 8.0283
_cell_length_b 10.3058
_cell_length_c 6.6197
_cell_angle_alpha 90.00
_cell_angle_beta 90.00
_cell_angle_gamma 90.00
_symmetry_space_group_name_H-M 'A m m 2'
_symmetry_Int_Tables_number 38
loop_
_symmetry_equiv_pos_as_xyz
'x,y,z'
'-x,-y,z'
'-x,y,z'
'x,-y,z'
'x,y+1/2,z+1/2'
'-x,-y+1/2,z+1/2'
'-x,y+1/2,z+1/2'
'x,-y+1/2,z+1/2'
loop_
_atom_site_label
_atom_site_type_symbol
_atom_site_fract_x
_atom_site_fract_y
_atom_site_fract_z
_atom_site_occupancy
Rb1 Rb 0.0000 0.0000 0.0000 1
Rb2 Rb 0.2656 0.1846 0.4862 1
V1 V 0.5000 0.0000 0.9908 1
O1 O 0.3229 0.0000 0.1472 1
O2 O 0.5000 0.1377 0.8351 1
F1 F 0.0000 0.2165 0.7479 1
```